# 1
{
  "formula": "K2UTiS5",
  "functional": "PBE-GGA",
  "state": "relaxed",
  "magnetic_moment_mub_per_cell": 4.0,
  "raw_formation_energy_ev_per_fu": -11.94,
  "lattice": [[-0.398, 3.240, -2.510], [-4.764, -6.557, -4.333], [-11.407, 3.827, 6.749]],
  "species": ["S", "S", "S", "S", "K", "S", "S", "K", "S", "S", "S", "U", "U", "K", "Ti", "Ti", "K", "S"],
  "fractional_positions": [[0.701, 0.402, 0.152], [0.495, 0.990, 0.289], [0.658, 0.316, 0.506], [0.342, 0.684, 0.006], [0.131, 0.263, 0.330], [0.505, 0.010, 0.789], [0.048, 0.095, 0.015], [0.869, 0.737, 0.830], [0.952, 0.905, 0.515], [0.313, 0.626, 0.398], [0.687, 0.374, 0.898], [0.795, 0.591, 0.530], [0.205, 0.409, 0.030], [0.888, 0.776, 0.173], [0.441, 0.882, 0.431], [0.559, 0.118, 0.931], [0.112, 0.224, 0.673], [0.299, 0.598, 0.652]]
}



# 2
{
  "formula": "K3U3TiS8",
  "functional": "PBE-GGA",
  "state": "relaxed",
  "magnetic_moment_mub_per_cell": 3.8,
  "raw_formation_energy_ev_per_fu": -20.59,
  "lattice": [[-2.690, 5.531, 4.826], [1.547, -7.165, 2.721], [6.978, 5.065, -1.884]],
  "species": ["K", "S", "S", "K", "U", "U", "S", "S", "S", "K", "S", "S", "U", "S", "Ti"],
  "fractional_positions": [[0.500, 0.500, 0.000], [0.221, 0.442, 0.690], [0.251, 0.031, 0.310], [0.000, 0.500, 0.000], [0.500, 0.000, 0.500], [0.000, 0.500, 0.500], [0.222, 0.969, 0.691], [0.264, 0.528, 0.292], [0.779, 0.558, 0.310], [0.000, 0.000, 0.000], [0.736, 0.472, 0.708], [0.778, 0.031, 0.309], [0.500, 0.500, 0.500], [0.749, 0.969, 0.690], [0.000, 0.000, 0.500]]
}



# 3
{
  "formula": "K2TiVS4",
  "functional": "PBE-GGA",
  "state": "relaxed",
  "magnetic_moment_mub_per_cell": 3.0,
  "raw_formation_energy_ev_per_fu": -8.90,
  "lattice": [[-0.328, -4.282, -5.166], [4.355, -1.348, 4.934], [-5.265, 0.323, 4.160]],
  "species": ["K", "S", "S", "K", "S", "S", "V", "Ti"],
  "fractional_positions": [[0.000, 0.000, 0.000], [0.599, 0.368, 0.474], [0.401, 0.875, 0.769], [0.500, 0.750, 0.250], [0.894, 0.526, 0.125], [0.106, 0.231, 0.632], [0.000, 0.500, 0.500], [0.500, 0.250, 0.750]]
}



# 4
{
  "formula": "K4Y3TiS8",
  "functional": "PBE-GGA",
  "state": "relaxed",
  "magnetic_moment_mub_per_cell": 1.0,
  "raw_formation_energy_ev_per_fu": -27.48,
  "lattice": [[-3.298, -6.650, -2.810], [6.356, -0.682, -5.847], [2.115, 0.460, 7.636]],
  "species": ["S", "Ti", "K", "Y", "S", "K", "K", "S", "K", "Y", "S", "S", "S", "S", "Y", "S"],
  "fractional_positions": [[0.735, 0.705, 0.470], [0.000, 0.500, 0.000], [0.000, 0.000, 0.000], [0.500, 0.500, 0.500], [0.223, 0.696, 0.446], [0.000, 0.000, 0.500], [0.500, 0.000, 0.000], [0.223, 0.696, 0.973], [0.500, 0.000, 0.500], [0.000, 0.500, 0.500], [0.751, 0.696, 0.973], [0.777, 0.304, 0.027], [0.777, 0.304, 0.554], [0.265, 0.295, 0.530], [0.500, 0.500, 0.000], [0.249, 0.304, 0.027]]
}



# 5
{
  "formula": "K3Y3TiS8",
  "functional": "PBE-GGA",
  "state": "relaxed",
  "magnetic_moment_mub_per_cell": 0.0,
  "raw_formation_energy_ev_per_fu": -26.18,
  "lattice": [[-3.814, 6.515, -2.164], [-1.809, -6.890, -3.305], [-2.645, 1.201, 8.275]],
  "species": ["S", "S", "S", "K", "S", "Y", "S", "S", "S", "Ti", "Y", "S", "Y", "K", "K"],
  "fractional_positions": [[0.242, 0.027, 0.312], [0.785, 0.570, 0.312], [0.215, 0.430, 0.688], [0.500, 0.500, 0.000], [0.266, 0.531, 0.297], [0.500, 0.000, 0.500], [0.734, 0.469, 0.703], [0.785, 0.027, 0.312], [0.758, 0.973, 0.688], [0.000, 0.000, 0.500], [0.500, 0.500, 0.500], [0.215, 0.973, 0.688], [0.000, 0.500, 0.500], [0.000, 0.000, 0.000], [0.000, 0.500, 0.000]]
}



# 6
{
  "formula": "K2TiZnS4",
  "functional": "PBE-GGA",
  "state": "relaxed",
  "magnetic_moment_mub_per_cell": 0.0,
  "raw_formation_energy_ev_per_fu": -9.41,
  "lattice": [[6.909, -0.003, -0.003], [-0.004, 6.907, -0.003], [-3.449, -3.450, 4.619]],
  "species": ["K", "S", "S", "S", "K", "S", "Ti", "Zn"],
  "fractional_positions": [[0.235, 0.235, 0.471], [0.849, 0.460, 0.217], [0.012, 0.104, 0.727], [0.368, 0.757, 0.217], [0.485, 0.985, 0.971], [0.715, 0.623, 0.727], [0.736, 0.736, 0.472], [0.986, 0.486, 0.972]]
}



# 7
{
  "formula": "K2ZrTiS5",
  "functional": "PBE-GGA",
  "state": "relaxed",
  "magnetic_moment_mub_per_cell": 0.0,
  "raw_formation_energy_ev_per_fu": -12.48,
  "lattice": [[-2.512, 1.173, -2.734], [-5.670, -1.158, 7.486], [2.125, 12.978, 3.617]],
  "species": ["Ti", "K", "K", "S", "Zr", "S", "S", "S", "S", "K", "K", "S", "S", "S", "S", "Ti", "Zr", "S"],
  "fractional_positions": [[0.569, 0.138, 0.930], [0.129, 0.258, 0.323], [0.871, 0.742, 0.823], [0.700, 0.400, 0.151], [0.212, 0.424, 0.033], [0.663, 0.326, 0.502], [0.300, 0.600, 0.651], [0.490, 0.980, 0.293], [0.311, 0.622, 0.392], [0.122, 0.244, 0.677], [0.878, 0.756, 0.177], [0.337, 0.674, 0.002], [0.510, 0.020, 0.793], [0.054, 0.108, 0.023], [0.689, 0.378, 0.892], [0.431, 0.862, 0.430], [0.788, 0.576, 0.533], [0.946, 0.892, 0.523]]
}



# 8
{
  "formula": "K3Zr3TiS8",
  "functional": "PBE-GGA",
  "state": "relaxed",
  "magnetic_moment_mub_per_cell": 0.8,
  "raw_formation_energy_ev_per_fu": -22.60,
  "lattice": [[-1.982, 7.026, -0.900], [-1.638, -3.514, 6.250], [8.381, 2.255, -0.859]],
  "species": ["S", "S", "S", "Zr", "K", "Zr", "S", "S", "S", "S", "Ti", "K", "Zr", "S", "K"],
  "fractional_positions": [[0.773, 0.546, 0.307], [0.734, 0.468, 0.701], [0.773, 0.034, 0.307], [0.500, 0.500, 0.500], [0.000, 0.000, 0.000], [0.500, 0.000, 0.500], [0.261, 0.034, 0.307], [0.739, 0.966, 0.693], [0.227, 0.454, 0.693], [0.266, 0.532, 0.299], [0.000, 0.000, 0.500], [0.500, 0.500, 0.000], [0.000, 0.500, 0.500], [0.227, 0.966, 0.693], [0.000, 0.500, 0.000]]
}